A relaxed Hf4Ta2As3N3 crystal, computed with PBE.

Cell lengths 5.820, 5.820, 12.554 Å; angles 103.36, 103.36, 60.02 degrees
Element x y z (fractional)
Hf (0.027, 0.204, 0.098)
Hf (0.139, 0.301, 0.402)
Hf (0.204, 0.027, 0.598)
Hf (0.301, 0.139, 0.902)
Hf (0.699, 0.861, 0.098)
Hf (0.796, 0.973, 0.402)
Hf (0.861, 0.699, 0.598)
Hf (0.973, 0.796, 0.902)
Ta (0.371, 0.530, 0.089)
Ta (0.470, 0.629, 0.411)
Ta (0.530, 0.371, 0.589)
Ta (0.629, 0.470, 0.911)
As (0.098, 0.902, 0.250)
As (0.266, 0.416, 0.749)
As (0.416, 0.266, 0.249)
As (0.584, 0.734, 0.751)
As (0.734, 0.584, 0.251)
As (0.902, 0.098, 0.750)
N (0.000, 0.500, 0.000)
N (0.150, 0.674, 0.500)
N (0.326, 0.850, 0.000)
N (0.500, 0.000, 0.500)
N (0.674, 0.150, 0.000)
N (0.850, 0.326, 0.500)

## Properties
Total energy, eV per atom: -9.621